Tb2SmTc: optimized geometry, GGA-PBE.

The calculation puts the theoretical density at 8.555 Mg/m³. Its total moment is 0.00 μB per atom. The total energy is -6.15 eV/atom. As for the energy above the lowest structure with this stoichiometry: 0 meV per atom. Its space-group type is Pnma, No. 62. The energy of formation is -0.065 eV per atom. The value obtained for the density of states at the Fermi level is 3.50 states/eV/f.u.

```
16
Lattice="-3.187 5.400 -1.015 0.555 -1.059 -7.371 -7.988 -4.701 0.074" Properties=species:S:1:pos:R:3 pbc="T T T"
Sm -6.921 -2.003 -3.687
Sm -5.870 -3.844 -7.126
Sm -4.750 3.484 -1.187
Sm -3.699 1.644 -4.626
Tb -9.968 -0.210 -3.170
Tb -3.617 -1.894 -5.115
Tb -0.653 -0.149 -5.142
Tb -7.003 1.534 -3.197
Tb -6.158 0.044 -6.702
Tb -4.462 -0.404 -1.611
Tb -1.497 1.341 -1.638
Tb -9.123 -1.701 -6.674
Tc -1.916 -1.358 -2.873
Tc -7.655 -0.720 -1.331
Tc -2.965 0.360 -6.981
Tc -8.704 0.999 -5.439
```